The following is a DFT calculation (PBE with a Hubbard U) of an optimized crystal structure of VSbO2.

## Properties
- SG = Fd-3m, No. 227
- crystal system = cubic
- magnetization (μB/cell) = 2.10
- total DFT energy (no corrections) (eV for the cell shown) = -51.2
- DOS at the Fermi energy (states/eV/cell) = 2.0

```
VSbO2
1.0
0.000 4.179 4.179
4.179 0.000 4.179
4.179 4.179 0.000
V Sb O
2 2 4
direct
0.125 0.125 0.125
0.875 0.875 0.875
0.375 0.375 0.375
0.625 0.625 0.625
0.000 0.000 0.000
0.000 0.000 0.500
0.000 0.500 0.000
0.500 0.000 0.000
```